(1)
VASP calculation (GGA-PBE) on a geometry-optimized YHfMn2As structure.

Calculated values
For the formation energy, the calculation gives 0.669 eV/atom. The space group is P4/mmm, No. 123.

Structure (POSCAR):
```
YHfMn2As
1.0
-3.170 3.084 -0.130
-3.251 -3.424 -1.955
-1.267 -1.130 4.087
Y As Mn Hf
1 1 2 1
direct
0.000 0.500 0.000
0.000 0.000 0.000
0.000 0.000 0.500
0.500 0.000 0.000
0.500 0.500 0.500
```

---

(2)
VASP calculation (GGA-PBE) on a geometry-optimized Hf4Sn2C structure.

Calculated values
For the formation energy, the calculation gives -0.446 eV/atom. The excess energy over the best structure of this formula in the dataset comes out at 0.0478 eV/atom. The space group is I4/mmm, No. 139.

Structure (POSCAR):
```
Hf4Sn2C
1.0
4.398 0.000 0.000
0.000 4.398 0.000
2.199 2.199 7.497
C Hf Sn
1 4 2
direct
0.000 0.000 0.000
0.153 0.153 0.693
0.847 0.847 0.307
0.000 0.500 0.000
0.500 0.000 0.000
0.353 0.353 0.295
0.647 0.647 0.705
```

---

(3)
VASP calculation (GGA-PBE) on a geometry-optimized CaNbGe2 structure.

Calculated values
For the formation energy, the calculation gives 0.132 eV/atom. The space group is I-42d, No. 122.

Structure (POSCAR):
```
CaNbGe2
1.0
5.037 0.000 0.000
0.000 5.037 0.000
2.518 2.518 8.646
Nb Ca Ge
2 2 4
direct
0.000 0.000 0.000
0.750 0.250 0.500
0.500 0.500 0.000
0.250 0.750 0.500
0.788 0.125 0.250
0.962 0.625 0.250
0.375 0.212 0.750
0.875 0.038 0.750
```

---

In order of appearance, E = -36.059, -60.166, -20.778 eV/f.u..